# 1
SrLiDy2Se4 | GGA-PBE | relaxed

Summary:
Space group   Cmcm, No. 63
DFT total energy   -5.1219 eV per atom
Formation energy (no corrections)   -1.78 eV per atom
N(E_F)   0.265 states/eV/atom

a b c (Å): 4.136 7.153 14.279
angles (deg): 90.00 90.00 106.80
Atoms (fractional coordinates):
Sr 0.119 0.237 0.750
Sr 0.881 0.763 0.250
Li 0.848 0.696 0.750
Li 0.152 0.304 0.250
Dy 0.372 0.744 0.558
Dy 0.628 0.256 0.058
Dy 0.628 0.256 0.442
Dy 0.372 0.744 0.942
Se 0.270 0.541 0.117
Se 0.730 0.459 0.617
Se 0.730 0.459 0.883
Se 0.270 0.541 0.383
Se 0.000 0.000 0.500
Se 0.000 0.000 0.000
Se 0.447 0.895 0.750
Se 0.553 0.105 0.250

# 2
EuZrO2 | GGA-PBE | relaxed

Summary:
Space group   P4/mmm, No. 123
DFT total energy   -9.2230 eV per atom
Formation energy (no corrections)   -2.04 eV per atom
N(E_F)   0.280 states/eV/atom

a b c (Å): 2.928 2.928 6.084
angles (deg): 90.00 90.00 90.00
Atoms (fractional coordinates):
Eu 0.500 0.500 0.500
O 0.000 0.000 0.783
O 0.000 0.000 0.217
Zr 0.500 0.500 0.000

# 3
Sm2EuHo | GGA-PBE | relaxed

Summary:
Space group   P4/mmm, No. 123
DFT total energy   -6.0294 eV per atom
N(E_F)   1.250 states/eV/atom
ΔH_f (0 K)   0.0432 eV/atom

a b c (Å): 3.645 3.645 10.401
angles (deg): 90.00 90.00 90.00
Atoms (fractional coordinates):
Eu 0.500 0.500 0.500
Ho 0.500 0.500 0.000
Sm 0.000 0.000 0.765
Sm 0.000 0.000 0.235

# 4
La3Pm7Dy2 | GGA-PBE | relaxed

Summary:
Space group   R-3m, No. 166
DFT total energy   -4.5145 eV per atom
N(E_F)   1.699 states/eV/atom
ΔH_f (0 K)   0.2555 eV/atom

a b c (Å): 6.667 6.667 12.054
angles (deg): 73.95 73.95 60.00
Atoms (fractional coordinates):
La 0.000 0.000 0.000
La 0.153 0.153 0.542
La 0.847 0.847 0.458
Pm 0.500 0.500 0.500
Pm 0.081 0.585 0.750
Pm 0.585 0.585 0.750
Pm 0.585 0.081 0.750
Pm 0.919 0.415 0.250
Pm 0.415 0.919 0.250
Pm 0.415 0.415 0.250
Dy 0.334 0.334 0.999
Dy 0.666 0.666 0.001

# 5
BaAlSi5N7O2 | GGA-PBE | relaxed

Summary:
Space group   P1, No. 1
DFT total energy   -7.8770 eV per atom
Formation energy (no corrections)   -1.57 eV per atom
N(E_F)   0.000 states/eV/atom

a b c (Å): 4.935 6.836 6.873
angles (deg): 74.55 69.67 69.04
Atoms (fractional coordinates):
Ba 0.199 0.028 0.990
Al 0.821 0.531 0.148
Si 0.322 0.334 0.334
Si 0.991 0.658 0.659
Si 0.503 0.465 0.855
Si 0.815 0.143 0.535
Si 0.486 0.858 0.478
N 0.239 0.445 0.098
N 0.771 0.555 0.888
N 0.214 0.101 0.450
N 0.769 0.895 0.550
N 0.689 0.300 0.319
N 0.313 0.686 0.685
N 0.638 0.226 0.771
O 0.074 0.501 0.490
O 0.615 0.775 0.248

# 6
PuZn4Ga | GGA-PBE | relaxed

Summary:
Space group   F-43m, No. 216
DFT total energy   -3.7815 eV per atom
N(E_F)   1.551 states/eV/atom
ΔH_f (0 K)   -0.0391 eV/atom

a b c (Å): 5.380 5.380 5.380
angles (deg): 60.00 60.00 60.00
Atoms (fractional coordinates):
Zn 0.625 0.625 0.125
Zn 0.625 0.125 0.625
Zn 0.625 0.625 0.625
Zn 0.125 0.625 0.625
Ga 0.000 0.000 0.000
Pu 0.250 0.250 0.250

# 7
SrScOs2 | GGA-PBE | relaxed

Summary:
Space group   P4/mmm, No. 123
DFT total energy   -7.1883 eV per atom
N(E_F)   1.272 states/eV/atom
ΔH_f (0 K)   0.4300 eV/atom

a b c (Å): 3.403 3.403 7.140
angles (deg): 90.00 90.00 90.00
Atoms (fractional coordinates):
Os 0.000 0.000 0.064
Os 0.000 0.000 0.436
Sc 0.500 0.500 0.250
Sr 0.500 0.500 0.750

# 8
ZnAgHg2 | GGA-PBE | relaxed

Summary:
Space group   P4/mmm, No. 123
DFT total energy   -1.0648 eV per atom
N(E_F)   0.132 states/eV/atom
ΔH_f (0 K)   0.1174 eV/atom

a b c (Å): 3.190 3.190 7.866
angles (deg): 90.00 90.00 90.00
Atoms (fractional coordinates):
Ag 0.500 0.500 0.750
Hg 0.000 0.000 0.009
Hg 0.000 0.000 0.491
Zn 0.500 0.500 0.250

# 9
Sr3Tm2NpAs6 | GGA-PBE | relaxed

Summary:
Space group   C2/m, No. 12
DFT total energy   -5.7044 eV per atom
N(E_F)   0.189 states/eV/atom
ΔH_f (0 K)   -1.1355 eV/atom

a b c (Å): 7.283 7.283 7.529
angles (deg): 99.27 99.27 119.98
Atoms (fractional coordinates):
Sr 0.169 0.831 0.500
Sr 0.831 0.169 0.500
Sr 0.500 0.500 0.500
Tm 0.334 0.666 0.000
Tm 0.666 0.334 0.000
Np 0.000 0.000 0.000
As 0.928 0.606 0.784
As 0.751 0.751 0.215
As 0.072 0.394 0.216
As 0.606 0.928 0.784
As 0.249 0.249 0.785
As 0.394 0.072 0.216

# 10
LiSi2Pd8 | GGA-PBE | relaxed

Summary:
Space group   Immm, No. 71
DFT total energy   -5.4084 eV per atom
Formation energy (no corrections)   -0.47 eV per atom
N(E_F)   0.361 states/eV/atom

a b c (Å): 3.988 7.010 7.042
angles (deg): 119.85 106.45 90.00
Atoms (fractional coordinates):
Li 0.500 0.000 0.000
Si 0.194 0.694 0.388
Si 0.806 0.306 0.612
Pd 0.664 0.880 0.329
Pd 0.336 0.552 0.671
Pd 0.138 0.138 0.276
Pd 0.000 0.314 0.000
Pd 0.862 0.862 0.724
Pd 0.664 0.448 0.329
Pd 0.336 0.120 0.671
Pd 0.000 0.686 0.000

# 11
CuSn2Ir2 | GGA-PBE | relaxed

Summary:
Space group   P4/mbm, No. 127
DFT total energy   -5.9661 eV per atom
N(E_F)   0.575 states/eV/atom
ΔH_f (0 K)   -0.0014 eV/atom

a b c (Å): 6.888 6.888 3.771
angles (deg): 90.00 90.00 90.00
Atoms (fractional coordinates):
Ir 0.357 0.857 0.000
Ir 0.857 0.643 0.000
Ir 0.643 0.143 0.000
Ir 0.143 0.357 0.000
Sn 0.161 0.661 0.500
Sn 0.661 0.839 0.500
Sn 0.839 0.339 0.500
Sn 0.339 0.161 0.500
Cu 0.000 0.000 0.000
Cu 0.500 0.500 0.000

# 12
BaTcPb3 | GGA-PBE | relaxed

Summary:
Space group   Pm-3m, No. 221
DFT total energy   -2.6349 eV per atom
N(E_F)   1.479 states/eV/atom
ΔH_f (0 K)   2.0478 eV/atom

a b c (Å): 6.110 6.110 6.110
angles (deg): 90.00 90.00 90.00
Atoms (fractional coordinates):
Pb 0.000 0.500 0.000
Pb 0.000 0.000 0.500
Pb 0.500 0.000 0.000
Ba 0.000 0.000 0.000
Tc 0.500 0.500 0.500

# 13
ZrInSe | GGA-PBE | relaxed

Summary:
Space group   F-43m, No. 216
DFT total energy   -5.0352 eV per atom
Formation energy (no corrections)   -0.11 eV per atom
N(E_F)   0.991 states/eV/atom

a b c (Å): 4.707 4.707 4.707
angles (deg): 60.00 60.00 60.00
Atoms (fractional coordinates):
In 0.500 0.500 0.500
Se 0.750 0.750 0.750
Zr 0.000 0.000 0.000